Record 1
VASP calculation (SCAN) on a PBEsol-optimized structure of MgCdS2N.

```
data_MgCdS2N
_chemical_formula_sum 'Mg1 Cd1 S2 N1'
_space_group_name_H-M_alt 'P 4/m m m'
_space_group_IT_number 123
_space_group_name_Hall '-P 4 2'
_cell_length_a 5.014
_cell_length_b 5.014
_cell_length_c 4.068
_cell_angle_alpha 90.00
_cell_angle_beta 90.00
_cell_angle_gamma 90.00
loop_
_atom_site_label
_atom_site_type_symbol
_atom_site_fract_x
_atom_site_fract_y
_atom_site_fract_z
Mg1 Mg 0.000 0.000 0.000
Cd1 Cd 0.500 0.500 0.500
S1 S 0.000 0.500 0.500
N1 N 0.500 0.500 0.000
```

The excess energy over the best structure of this formula in the dataset comes out at 227 meV/atom. The formation energy (no corrections) is 0.587 eV/atom.

=====

Record 2
VASP calculation (SCAN) on a PBEsol-optimized structure of MgCdSN2.

```
data_MgCdSN2
_chemical_formula_sum 'Mg1 Cd1 S1 N2'
_space_group_name_H-M_alt 'P 4/m m m'
_space_group_IT_number 123
_space_group_name_Hall '-P 4 2'
_cell_length_a 4.108
_cell_length_b 4.108
_cell_length_c 5.355
_cell_angle_alpha 90.00
_cell_angle_beta 90.00
_cell_angle_gamma 90.00
loop_
_atom_site_label
_atom_site_type_symbol
_atom_site_fract_x
_atom_site_fract_y
_atom_site_fract_z
Mg1 Mg 0.000 0.000 0.000
Cd1 Cd 0.500 0.500 0.500
S1 S 0.500 0.500 0.000
N1 N 0.000 0.500 0.500
```

The formation energy (no corrections) is 1.122 eV/atom.

=====

Record 3
VASP calculation (SCAN) on a PBEsol-optimized structure of MgCdS2N.

```
data_MgCdS2N
_chemical_formula_sum 'Mg1 Cd1 S2 N1'
_space_group_name_H-M_alt 'P 4/m m m'
_space_group_IT_number 123
_space_group_name_Hall '-P 4 2'
_cell_length_a 4.849
_cell_length_b 4.849
_cell_length_c 3.980
_cell_angle_alpha 90.00
_cell_angle_beta 90.00
_cell_angle_gamma 90.00
loop_
_atom_site_label
_atom_site_type_symbol
_atom_site_fract_x
_atom_site_fract_y
_atom_site_fract_z
Mg1 Mg 0.000 0.000 0.000
Cd1 Cd 0.500 0.500 0.500
S1 S 0.000 0.500 0.000
N1 N 0.000 0.000 0.500
```

The excess energy over the best structure of this formula in the dataset comes out at 0 meV/atom. The formation energy (no corrections) is 0.359 eV/atom.

=====

Record 4
VASP calculation (SCAN) on a PBEsol-optimized structure of NaMgCdTc2.

```
data_NaMgCdTc2
_chemical_formula_sum 'Na1 Mg1 Cd1 Tc2'
_space_group_name_H-M_alt 'P 4/m m m'
_space_group_IT_number 123
_space_group_name_Hall '-P 4 2'
_cell_length_a 5.026
_cell_length_b 5.026
_cell_length_c 4.955
_cell_angle_alpha 90.00
_cell_angle_beta 90.00
_cell_angle_gamma 90.00
loop_
_atom_site_label
_atom_site_type_symbol
_atom_site_fract_x
_atom_site_fract_y
_atom_site_fract_z
Na1 Na 0.000 0.000 0.000
Mg1 Mg 0.500 0.500 0.000
Cd1 Cd 0.000 0.000 0.500
Tc1 Tc 0.000 0.500 0.500
```

The formation energy comes out at 1.583 eV/atom.

=====

Record 5
VASP calculation (SCAN) on a PBEsol-optimized structure of Nd2MgCd.

```
data_Nd2MgCd
_chemical_formula_sum 'Nd8 Mg4 Cd4'
_space_group_name_H-M_alt 'F m -3 m'
_space_group_IT_number 225
_space_group_name_Hall '-F 4 2 3'
_cell_length_a 7.605
_cell_length_b 7.605
_cell_length_c 7.605
_cell_angle_alpha 90.00
_cell_angle_beta 90.00
_cell_angle_gamma 90.00
loop_
_atom_site_label
_atom_site_type_symbol
_atom_site_fract_x
_atom_site_fract_y
_atom_site_fract_z
Nd1 Nd 0.250 0.250 0.250
Mg1 Mg 0.000 0.000 0.000
Cd1 Cd 0.000 0.000 0.500
```

The formation energy comes out at -0.271 eV/atom.

=====

Record 6
VASP calculation (SCAN) on a PBEsol-optimized structure of Mg2CdNi2.

```
data_Mg2CdNi2
_chemical_formula_sum 'Mg4 Cd2 Ni4'
_space_group_name_H-M_alt 'P 4/m b m'
_space_group_IT_number 127
_space_group_name_Hall '-P 4 2ab'
_cell_length_a 6.598
_cell_length_b 6.598
_cell_length_c 3.616
_cell_angle_alpha 90.00
_cell_angle_beta 90.00
_cell_angle_gamma 90.00
loop_
_atom_site_label
_atom_site_type_symbol
_atom_site_fract_x
_atom_site_fract_y
_atom_site_fract_z
Mg1 Mg 0.166 0.334 0.000
Cd1 Cd 0.000 0.000 0.500
Ni1 Ni 0.126 0.626 0.500
```

The formation energy comes out at -0.091 eV/atom.